1.
Here is PuInCuIr after structural relaxation from Alexandria via LeMat-Bulk. Energies are from PBE.

The structure in POSCAR format:
```
PuInCuIr
1.0
4.7591 0.0000 0.0000
2.3796 4.1215 0.0000
2.3796 1.3738 3.8858
In Ir Cu Pu
1 1 1 1
direct
0.5000 0.5000 0.5000 In
0.7500 0.7500 0.7500 Ir
0.2500 0.2500 0.2500 Cu
0.0000 0.0000 0.0000 Pu
```

Properties
The total energy comes out at -7.651 eV/atom. The value obtained for the density of states at the Fermi level is 11.1 states/eV/f.u. Its formation enthalpy at 0 K is -0.144 eV per atom. As for the symmetry: F-43m.

=====

2.
Here is InCuIrRh after structural relaxation from Alexandria via LeMat-Bulk. Energies are from PBE.

The structure in POSCAR format:
```
InCuIrRh
1.0
-2.5303 -1.7283 3.1867
1.8695 -1.7200 3.6182
-0.3849 2.0735 3.8855
Rh In Cu Ir
1 1 1 1
direct
0.0000 0.0000 0.0000 Rh
0.7500 0.7500 0.7500 In
0.2500 0.2500 0.2500 Cu
0.5000 0.5000 0.5000 Ir
```

Properties
The total energy comes out at -5.775 eV/atom. The value obtained for the density of states at the Fermi level is 5.3 states/eV/f.u. Its formation enthalpy at 0 K is -0.014 eV per atom. As for the symmetry: F-43m.

=====

3.
Here is In2CuIr2S6 after structural relaxation from Alexandria via LeMat-Bulk. Energies are from PBE.

The structure in POSCAR format:
```
In2CuIr2S6
1.0
6.3848 -0.0900 0.0747
-3.2340 5.5060 0.0747
-1.1087 -1.9057 6.2069
S Ir In Cu
6 2 2 1
direct
0.0597 0.4280 0.7054 S
0.4280 0.0597 0.7054 S
0.2617 0.2617 0.3213 S
0.5720 0.9403 0.2946 S
0.9403 0.5720 0.2946 S
0.7383 0.7383 0.6787 S
0.6666 0.3334 0.5000 Ir
0.3334 0.6666 0.5000 Ir
0.1614 0.8386 0.0000 In
0.8386 0.1614 0.0000 In
0.0000 0.0000 0.5000 Cu
```

Properties
For the raw formation energy, the calculation gives -294 meV/atom. The total energy comes out at -5.027 eV/atom. The value obtained for the density of states at the Fermi level is 3.6 states/eV/f.u. As for the symmetry: C2/m.